1.
Material: Pm6Tm2Mg
Method: DFT, PBE-GGA
State: relaxed Values from VASP.

Geometry as Quantum ESPRESSO input:
```
&SYSTEM
  ibrav = 0, nat = 18, ntyp = 3
/
ATOMIC_SPECIES
Tm 168.93 Tm.upf
Pm 145.00 Pm.upf
Mg 24.30 Mg.upf
ATOMIC_POSITIONS crystal
Tm 0.000 0.670 0.170
Tm 0.500 0.170 0.330
Tm 0.000 0.330 0.830
Tm 0.500 0.830 0.670
Pm 0.000 0.668 0.502
Pm 0.500 0.502 0.332
Pm 0.000 0.002 0.168
Pm 0.500 0.168 0.998
Pm 0.500 0.832 0.002
Pm 0.500 0.498 0.668
Pm 0.000 0.661 0.839
Pm 0.000 0.998 0.832
Pm 0.500 0.161 0.661
Pm 0.000 0.339 0.161
Pm 0.000 0.332 0.498
Pm 0.500 0.839 0.339
Mg 0.500 0.500 0.000
Mg 0.000 0.000 0.500
CELL_PARAMETERS angstrom
5.102 0.000 0.222
0.000 10.675 0.000
-0.464 0.000 10.664
```

Summary:
- formation energy (eV per atom) = 0.0239
- polymorph energy (0 for the lowest one) (meV per atom) = 0
- E (eV/atom) = -4.3141

***

2.
Material: PaSiB2
Method: DFT, PBE-GGA
State: relaxed Values from VASP.

Geometry as Quantum ESPRESSO input:
```
&SYSTEM
  ibrav = 0, nat = 16, ntyp = 3
/
ATOMIC_SPECIES
Si 28.09 Si.upf
Pa 231.04 Pa.upf
B 10.81 B.upf
ATOMIC_POSITIONS crystal
Si 0.250 0.954 0.396
Si 0.250 0.454 0.104
Si 0.750 0.046 0.604
Si 0.750 0.546 0.896
Pa 0.250 0.669 0.636
Pa 0.750 0.831 0.136
Pa 0.750 0.331 0.364
Pa 0.250 0.169 0.864
B 0.250 0.158 0.155
B 0.750 0.707 0.405
B 0.250 0.658 0.345
B 0.750 0.842 0.845
B 0.750 0.207 0.095
B 0.750 0.342 0.655
B 0.250 0.793 0.905
B 0.250 0.293 0.595
CELL_PARAMETERS angstrom
3.127 0.000 0.000
0.000 6.841 0.000
0.000 0.000 9.758
```

Summary:
- polymorph energy (0 for the lowest one) (meV per atom) = 0
- E (eV/atom) = -7.2999

***

3.
Material: MnTcRhSe2
Method: DFT, PBE-GGA
State: relaxed Values from VASP.

Geometry as Quantum ESPRESSO input:
```
&SYSTEM
  ibrav = 0, nat = 5, ntyp = 4
/
ATOMIC_SPECIES
Se 78.96 Se.upf
Mn 54.94 Mn.upf
Rh 102.91 Rh.upf
Tc 98.00 Tc.upf
ATOMIC_POSITIONS crystal
Se 0.000 0.000 0.500
Se 0.500 0.000 0.000
Mn 0.500 0.500 0.500
Rh 0.000 0.000 0.000
Tc 0.000 0.500 0.000
CELL_PARAMETERS angstrom
4.797 0.000 0.000
0.000 4.663 0.000
0.000 0.000 4.797
```

Summary:
- E (eV/atom) = -5.2213

***

4.
Material: GdPuBiTe
Method: DFT, PBE-GGA
State: relaxed Values from VASP.

Geometry as Quantum ESPRESSO input:
```
&SYSTEM
  ibrav = 0, nat = 4, ntyp = 4
/
ATOMIC_SPECIES
Bi 208.98 Bi.upf
Te 127.60 Te.upf
Pu 244.00 Pu.upf
Gd 157.25 Gd.upf
ATOMIC_POSITIONS crystal
Bi 0.750 0.750 0.750
Te 0.250 0.250 0.250
Pu 0.000 0.000 0.000
Gd 0.500 0.500 0.500
CELL_PARAMETERS angstrom
-3.284 1.690 -4.006
-5.403 -0.468 0.526
-3.066 4.452 0.686
```

Summary:
- E (eV/atom) = -9.6645

***

Magnetization
In order: 0.000, 0.000, 0.057, 13.198
Unit: μB per formula unit